First-principles (GGA-PBE) data for crystalline CsSrI2O at its relaxed geometry, as listed in Alexandria via LeMat-Bulk.

calculated volume = 41.910 Å³/atom
raw total energy = -2.76 eV/atom
ΔE to the lowest computed polymorph = 772 meV/atom
E_form (uncorrected) = -14.9 kcal/mol of atoms

Cell: 6.824 6.824 4.500 Å, 90.00 90.00 90.00°
Last column: magnetic moment on the atom in μB.
Atoms (fractional coordinates):
O  0.000  0.000  0.500  0.05
I  0.000  0.500  0.000  0.00
I  0.500  0.000  0.000  0.00
Cs  0.000  0.000  0.000  0.02
Sr  0.500  0.500  0.500  0.00

---

First-principles (GGA-PBE) data for crystalline CsTaI2O at its relaxed geometry, as listed in Alexandria via LeMat-Bulk.

calculated volume = 38.339 Å³/atom
raw total energy = -2.97 eV/atom
ΔE to the lowest computed polymorph = 2207 meV/atom
E_form (uncorrected) = 27.2 kcal/mol of atoms

Cell: 6.685 6.685 4.289 Å, 90.00 90.00 90.00°
Last column: magnetic moment on the atom in μB.
Atoms (fractional coordinates):
I  0.000  0.500  0.000  -0.09
I  0.500  0.000  0.000  -0.09
Ta  0.500  0.500  0.500  2.22
O  0.000  0.000  0.500  -0.05
Cs  0.000  0.000  0.000  -0.01

---

First-principles (GGA-PBE) data for crystalline CsTaI2O at its relaxed geometry, as listed in Alexandria via LeMat-Bulk.

calculated volume = 30.533 Å³/atom
raw total energy = -5.18 eV/atom
ΔE to the lowest computed polymorph = 0 meV/atom
E_form (uncorrected) = -23.7 kcal/mol of atoms

Cell: 6.194 6.194 3.979 Å, 90.00 90.00 90.00°
Last column: magnetic moment on the atom in μB.
Atoms (fractional coordinates):
I  0.000  0.500  0.000  0.01
I  0.500  0.000  0.000  0.01
O  0.000  0.000  0.500  -0.06
Cs  0.500  0.500  0.500  0.00
Ta  0.000  0.000  0.000  1.04

---

First-principles (GGA-PBE) data for crystalline CsTaI2O8 at its relaxed geometry, as listed in Alexandria via LeMat-Bulk.

calculated volume = 18.553 Å³/atom
raw total energy = -5.79 eV/atom
E_form (uncorrected) = -26.9 kcal/mol of atoms

Cell: 5.649 6.524 8.086 Å, 56.96 69.56 64.35°
Atoms (fractional coordinates):
Ta  0.000  0.000  0.000
Cs  0.500  0.500  0.500
O  0.317  0.467  0.898
O  0.640  0.037  0.177
O  0.854  0.963  0.823
O  0.094  0.631  0.181
O  0.146  0.037  0.177
O  0.906  0.369  0.819
O  0.683  0.533  0.102
O  0.360  0.963  0.823
I  0.281  0.275  0.164
I  0.719  0.725  0.836

---

First-principles (GGA-PBE) data for crystalline CsTaIO6 at its relaxed geometry, as listed in Alexandria via LeMat-Bulk.

calculated volume = 19.400 Å³/atom
raw total energy = -6.43 eV/atom
E_form (uncorrected) = -35.4 kcal/mol of atoms

Cell: 5.466 5.466 6.752 Å, 89.99 90.01 59.94°
Atoms (fractional coordinates):
O  0.406  0.001  0.670
O  0.000  0.592  0.670
O  0.591  0.409  0.671
O  0.592  0.001  0.330
O  0.409  0.591  0.329
O  0.001  0.406  0.330
Ta  0.666  0.666  0.500
Cs  0.000  0.000  0.000
I  0.333  0.333  0.500

---

First-principles (GGA-PBE) data for crystalline CsTc2IO at its relaxed geometry, as listed in Alexandria via LeMat-Bulk.

calculated volume = 27.703 Å³/atom
raw total energy = -3.55 eV/atom
E_form (uncorrected) = 47.6 kcal/mol of atoms

Cell: 5.524 4.540 5.524 Å, 90.00 90.00 90.00°
Last column: magnetic moment on the atom in μB.
Atoms (fractional coordinates):
Cs  0.000  0.000  0.000  0.05
I  0.500  0.500  0.500  0.08
O  0.000  0.500  0.000  0.18
Tc  0.500  0.000  0.000  3.31
Tc  0.000  0.000  0.500  2.87

---

First-principles (GGA-PBE) data for crystalline CsTcIO2 at its relaxed geometry, as listed in Alexandria via LeMat-Bulk.

calculated volume = 28.252 Å³/atom
raw total energy = -3.50 eV/atom
ΔE to the lowest computed polymorph = 1392 meV/atom
E_form (uncorrected) = 23.9 kcal/mol of atoms

Cell: 4.365 4.365 7.412 Å, 90.00 90.00 90.00°
Last column: magnetic moment on the atom in μB.
Atoms (fractional coordinates):
O  0.500  0.000  0.000  0.01
O  0.000  0.500  0.000  0.01
Cs  0.000  0.000  0.000  0.00
Tc  0.500  0.500  0.500  3.62
I  0.000  0.000  0.500  0.07

---

First-principles (GGA-PBE) data for crystalline CsTcIO2 at its relaxed geometry, as listed in Alexandria via LeMat-Bulk.

calculated volume = 21.050 Å³/atom
raw total energy = -4.89 eV/atom
ΔE to the lowest computed polymorph = 0 meV/atom
E_form (uncorrected) = -8.2 kcal/mol of atoms

Cell: 4.348 4.348 5.566 Å, 90.00 90.00 90.00°
Atoms (fractional coordinates):
I  0.000  0.000  0.500
Tc  0.000  0.000  0.000
Cs  0.500  0.500  0.500
O  0.000  0.500  0.000
O  0.500  0.000  0.000

---

First-principles (GGA-PBE) data for crystalline CsTcIO6 at its relaxed geometry, as listed in Alexandria via LeMat-Bulk.

calculated volume = 19.375 Å³/atom
raw total energy = -5.75 eV/atom
E_form (uncorrected) = -23.7 kcal/mol of atoms

Cell: 5.650 5.634 6.615 Å, 90.33 89.15 55.92°
Last column: magnetic moment on the atom in μB.
Atoms (fractional coordinates):
O  0.455  0.577  0.318  0.18
O  0.345  0.020  0.659  0.02
O  0.612  0.470  0.692  -0.03
O  0.983  0.634  0.654  0.01
O  0.018  0.378  0.332  0.00
O  0.594  0.977  0.333  0.00
I  0.326  0.319  0.508  0.02
Tc  0.668  0.644  0.494  0.72
Cs  0.000  0.982  0.010  0.00

---

First-principles (GGA-PBE) data for crystalline CsTe2IO at its relaxed geometry, as listed in Alexandria via LeMat-Bulk.

calculated volume = 36.919 Å³/atom
raw total energy = -3.02 eV/atom
ΔE to the lowest computed polymorph = 0 meV/atom
E_form (uncorrected) = -6.8 kcal/mol of atoms

Cell: 4.774 4.774 8.101 Å, 90.00 90.00 90.00°
Last column: magnetic moment on the atom in μB.
Atoms (fractional coordinates):
O  0.000  0.000  0.000  0.08
Te  0.000  0.500  0.000  0.13
Te  0.500  0.000  0.000  0.13
I  0.000  0.000  0.500  0.04
Cs  0.500  0.500  0.500  0.00

---

First-principles (GGA-PBE) data for crystalline CsTeI2O at its relaxed geometry, as listed in Alexandria via LeMat-Bulk.

calculated volume = 41.471 Å³/atom
raw total energy = -1.96 eV/atom
ΔE to the lowest computed polymorph = 1234 meV/atom
E_form (uncorrected) = 10.4 kcal/mol of atoms

Cell: 6.903 6.903 4.352 Å, 90.00 90.00 90.00°
Atoms (fractional coordinates):
Te  0.500  0.500  0.500
I  0.000  0.500  0.000
I  0.500  0.000  0.000
O  0.000  0.000  0.500
Cs  0.000  0.000  0.000

---

First-principles (GGA-PBE) data for crystalline Cs2TeIO6 at its relaxed geometry, as listed in Alexandria via LeMat-Bulk.

calculated volume = 19.109 Å³/atom
raw total energy = -4.53 eV/atom
E_form (uncorrected) = -21.2 kcal/mol of atoms

Cell: 5.778 5.778 7.032 Å, 65.74 65.74 90.00°
Last column: magnetic moment on the atom in μB.
Atoms (fractional coordinates):
Te  0.000  0.000  0.000  -0.01
I  0.500  0.500  0.000  0.20
O  0.751  0.751  0.000  0.12
O  0.249  0.751  0.000  0.12
O  0.249  0.249  0.000  0.12
O  0.163  0.163  0.674  0.05
O  0.837  0.837  0.326  0.05
O  0.751  0.249  0.000  0.12
Cs  0.750  0.250  0.500  0.00
Cs  0.250  0.750  0.500  0.00

---

First-principles (GGA-PBE) data for crystalline CsTe2IO at its relaxed geometry, as listed in Alexandria via LeMat-Bulk.

calculated volume = 61.388 Å³/atom
raw total energy = -1.67 eV/atom
ΔE to the lowest computed polymorph = 1356 meV/atom
E_form (uncorrected) = 24.4 kcal/mol of atoms

Cell: 6.682 6.682 6.875 Å, 90.00 90.00 90.00°
Last column: magnetic moment on the atom in μB.
Atoms (fractional coordinates):
Te  0.000  0.500  0.000  0.94
Te  0.500  0.000  0.000  0.94
O  0.500  0.500  0.500  1.44
Cs  0.000  0.000  0.000  0.09
I  0.000  0.000  0.500  0.26